Record 1
An optimized crystal structure of KLiYF5. Source: Alexandria, functional PBE-GGA.

Lattice parameters (Å, degrees): 6.4085 6.4901 24.1202 90.00 90.00 113.27
Sites, in units of the cell vectors:
F 0.9535 0.8813 0.1124
F 0.5465 0.1187 0.6124
F 0.0465 0.1187 0.8876
F 0.4535 0.8813 0.3876
F 0.7320 0.4970 0.2215
F 0.7680 0.5030 0.7215
F 0.2680 0.5030 0.7785
F 0.2320 0.4970 0.2785
F 0.0491 0.5464 0.1365
F 0.4509 0.4536 0.6365
F 0.9509 0.4536 0.8635
F 0.5491 0.5464 0.3635
F 0.7459 0.4657 0.0379
F 0.7541 0.5343 0.5379
F 0.2541 0.5343 0.9621
F 0.2459 0.4657 0.4621
F 0.4691 0.6848 0.0729
F 0.0309 0.3152 0.5729
F 0.5309 0.3152 0.9271
F 0.9691 0.6848 0.4271
F 0.3302 0.2632 0.1309
F 0.1698 0.7368 0.6309
F 0.6698 0.7368 0.8691
F 0.8302 0.2632 0.3691
F 0.6731 0.1679 0.1249
F 0.8269 0.8321 0.6249
F 0.3269 0.8321 0.8751
F 0.1731 0.1679 0.3751
F 0.3089 0.9816 0.0321
F 0.1911 0.0184 0.5321
F 0.6911 0.0184 0.9679
F 0.8089 0.9816 0.4679
F 0.2216 0.9238 0.2132
F 0.2784 0.0762 0.7132
F 0.7784 0.0762 0.7868
F 0.7216 0.9238 0.2868
F 0.5295 0.7438 0.1770
F 0.9705 0.2562 0.6770
F 0.4705 0.2562 0.8230
F 0.0295 0.7438 0.3230
K 0.9671 0.1653 0.2014
K 0.5329 0.8347 0.7014
K 0.0329 0.8347 0.7986
K 0.4671 0.1653 0.2986
K 0.0435 0.2585 0.0491
K 0.4565 0.7415 0.5491
K 0.9565 0.7415 0.9509
K 0.5435 0.2585 0.4509
Li 0.0406 0.6579 0.2495
Li 0.4594 0.3421 0.7495
Li 0.9594 0.3421 0.7505
Li 0.5406 0.6579 0.2505
Li 0.5532 0.2196 0.9981
Li 0.9468 0.7804 0.4981
Li 0.4468 0.7804 0.0019
Li 0.0532 0.2196 0.5019
Y 0.6836 0.5343 0.1259
Y 0.8164 0.4657 0.6259
Y 0.3164 0.4657 0.8741
Y 0.1836 0.5343 0.3741
Y 0.3198 0.8974 0.1260
Y 0.1802 0.1026 0.6260
Y 0.6802 0.1026 0.8740
Y 0.8198 0.8974 0.3740

Output
- ΔE_f (raw) (eV/atom) = -3.531
- E (eV/atom) = -5.89
- DOS at the Fermi energy (states/eV per cell) = 0.000
- offset from the most stable computed form (meV per atom) = 0
- space-group type = P2_1/c, No. 14

***

Record 2
An optimized crystal structure of NaCd3Hg10. Source: Alexandria, functional PBE-GGA.

Lattice parameters (Å, degrees): 10.5556 10.5556 10.5556 60.00 60.00 60.00
Sites, in units of the cell vectors:
Na 0.2500 0.2500 0.2500
Na 0.7500 0.7500 0.7500
Cd 0.7244 0.7244 0.2756
Cd 0.7244 0.2756 0.7244
Cd 0.2756 0.7244 0.7244
Cd 0.2756 0.2756 0.7244
Cd 0.7244 0.2756 0.2756
Cd 0.2756 0.7244 0.2756
Hg 0.0000 0.0000 0.3458
Hg 0.0000 0.3458 0.0000
Hg 0.3458 0.0000 0.0000
Hg 0.6542 0.3458 0.0000
Hg 0.3701 0.3701 0.3701
Hg 0.1103 0.6299 0.6299
Hg 0.3701 0.8897 0.3701
Hg 0.6542 0.0000 0.3458
Hg 0.3701 0.3701 0.8897
Hg 0.8897 0.3701 0.3701
Hg 0.6299 0.6299 0.1103
Hg 0.0000 0.0000 0.6542
Hg 0.3458 0.6542 0.0000
Hg 0.0000 0.6542 0.3458
Hg 0.0000 0.3458 0.6542
Hg 0.6542 0.0000 0.0000
Hg 0.6299 0.6299 0.6299
Hg 0.0000 0.6542 0.0000
Hg 0.6299 0.1103 0.6299
Hg 0.3458 0.0000 0.6542

Output
- E (eV/atom) = -0.51
- DOS at the Fermi energy (states/eV per cell) = 4.376
- E_form (eV per formula unit) = 0.00
- space-group type = Fm-3m, No. 225